BaU4Pd3S12: optimized geometry, PBE.

Cell: 8.4677 8.4677 8.4677 Å, 109.47 109.47 109.47°
Closest atoms and distances in Å follow each position.
Fractional positions:
S: 0.1623 0.4744 0.3121  1 Pd 2.43, 2 U 2.66
S: 0.3121 0.1623 0.4744  1 Pd 2.43, 2 U 2.66
S: 0.6879 0.8377 0.5256  1 Pd 2.43, 2 U 2.66
S: 0.8377 0.1497 0.3121  1 Pd 2.43, 2 U 2.66
S: 0.8377 0.5256 0.6879  1 Pd 2.43, 2 U 2.66
S: 0.8503 0.6879 0.1623  1 Pd 2.43, 2 U 2.66
S: 0.1497 0.3121 0.8377  1 Pd 2.43, 2 U 2.66
S: 0.4744 0.3121 0.1623  1 Pd 2.43, 2 U 2.66
S: 0.3121 0.8377 0.1497  1 Pd 2.43, 2 U 2.66
S: 0.5256 0.6879 0.8377  1 Pd 2.43, 2 U 2.66
S: 0.1623 0.8503 0.6879  1 Pd 2.43, 2 U 2.66
S: 0.6879 0.1623 0.8503  1 Pd 2.43, 2 U 2.66
Pd: 0.5000 0.5000 0.0000  4 S 2.43
Pd: 0.5000 0.0000 0.5000  4 S 2.43
Pd: 0.0000 0.5000 0.5000  4 S 2.43
U: 0.5000 0.0000 0.0000  6 S 2.66
U: 0.0000 0.0000 0.5000  6 S 2.66
U: 0.5000 0.5000 0.5000  6 S 2.66
U: 0.0000 0.5000 0.0000  6 S 2.66
Ba: 0.0000 0.0000 0.0000  12 S 3.44

Values from the calculation:
space group	Im-3, No. 204

---

BaU3Pd4S12: optimized geometry, PBE.

Cell: 8.4781 8.4781 8.4781 Å, 105.07 105.07 105.07°
Closest atoms and distances in Å follow each position.
Fractional positions:
S: 0.0869 0.9131 0.5000  1 Pd 2.34
S: 0.5000 0.3309 0.6691  1 Pd 2.28
S: 0.9131 0.5000 0.0869  1 Pd 2.34
S: 0.5000 0.0869 0.9131  1 Pd 2.34
S: 0.6549 0.7400 0.0118  1 Pd 2.29, 1 U 2.51
S: 0.6691 0.5000 0.3309  1 Pd 2.28
S: 0.0118 0.6549 0.7400  1 Pd 2.29, 1 U 2.51
S: 0.2600 0.3451 0.9882  1 Pd 2.29, 1 U 2.51
S: 0.3309 0.6691 0.5000  1 Pd 2.28
S: 0.7400 0.0118 0.6549  1 Pd 2.29, 1 U 2.51
S: 0.9882 0.2600 0.3451  1 Pd 2.29, 1 U 2.51
S: 0.3451 0.9882 0.2600  1 Pd 2.29, 1 U 2.51
U: 0.4291 0.0000 0.5709  6 S 2.51-2.66
U: 0.0000 0.5709 0.4291  6 S 2.51-2.66
U: 0.5709 0.4291 0.0000  6 S 2.51-2.66
Pd: 0.5000 0.5000 0.5000  3 S 2.28
Pd: 0.0867 0.5000 0.9133  3 S 2.29-2.34
Pd: 0.9133 0.0867 0.5000  3 S 2.29-2.34
Pd: 0.5000 0.9133 0.0867  3 S 2.29-2.34
Ba: 0.0000 0.0000 0.0000  6 S 3.22

Values from the calculation:
space group	R32, No. 155

---

BaUPd2S4: optimized geometry, PBE.

Cell: 6.7294 6.2754 6.2754 Å, 65.25 57.58 57.58°
Closest atoms and distances in Å follow each position.
Fractional positions:
S: 0.0787 0.9222 0.4862  2 Pd 2.43-2.44, 1 U 2.66
S: 0.4871 0.0778 0.5138  2 Pd 2.43-2.44, 1 U 2.66
S: 0.9213 0.5138 0.0778  2 Pd 2.43-2.44, 1 U 2.66
S: 0.5129 0.4862 0.9222  2 Pd 2.43-2.44, 1 U 2.66
Ba: 0.0000 0.0000 0.0000  8 S 3.17-3.18
U: 0.5000 0.5000 0.5000  4 S 2.66
Pd: 0.7549 0.7451 0.7451  4 S 2.43-2.44
Pd: 0.2451 0.2549 0.2549  4 S 2.43-2.44

Values from the calculation:
space group	I222, No. 23

---

BaU2PdS7: optimized geometry, PBE.

Cell: 5.2094 5.2094 10.5460 Å, 104.30 104.30 90.00°
Closest atoms and distances in Å follow each position.
Fractional positions:
S: 0.1248 0.6248 0.2495  1 Pd 2.48, 2 U 2.61
S: 0.7438 0.7438 0.4876  1 U 2.45, 2 Pd 2.61
S: 0.6111 0.1111 0.2222  2 U 2.64
S: 0.2562 0.2562 0.5124  1 U 2.45, 2 Pd 2.61
S: 0.0000 0.0000 0.0000  2 U 2.61
S: 0.8889 0.3889 0.7778  2 U 2.64
S: 0.3752 0.8752 0.7505  1 Pd 2.48, 2 U 2.61
Ba: 0.5000 0.5000 0.0000  12 S 3.41-3.68
U: 0.1321 0.1321 0.2642  6 S 2.45-2.64
U: 0.8679 0.8679 0.7358  6 S 2.45-2.64
Pd: 0.2500 0.7500 0.5000  6 S 2.48-2.61

Values from the calculation:
space group	I-4m2, No. 119

---

BaUPdS4: optimized geometry, PBE.

Cell: 6.5801 5.9604 8.6729 Å, 90.00 108.30 90.00°
Closest atoms and distances in Å follow each position.
Fractional positions:
Ba: 0.2497 0.2500 0.0554  6 S 3.03-3.32
Ba: 0.7503 0.7500 0.9446  6 S 3.03-3.32
Pd: 0.7775 0.2500 0.6722  4 S 2.34-2.43
Pd: 0.2225 0.7500 0.3278  4 S 2.34-2.43
S: 0.4588 0.7500 0.5960  1 Pd 2.36, 1 U 2.64
S: 0.4462 0.7500 0.1524  1 Pd 2.43, 1 U 2.67
S: 0.9590 0.0258 0.2906  1 Pd 2.34
S: 0.5538 0.2500 0.8476  1 Pd 2.43, 1 U 2.67
S: 0.5412 0.2500 0.4040  1 Pd 2.36, 1 U 2.64
S: 0.9590 0.4742 0.2906  1 Pd 2.34
S: 0.0410 0.9742 0.7094  1 Pd 2.34
S: 0.0410 0.5258 0.7094  1 Pd 2.34
U: 0.7471 0.7500 0.4422  6 S 2.64-2.84
U: 0.2529 0.2500 0.5578  6 S 2.64-2.84

Values from the calculation:
space group	P2_1/m, No. 11

---

Ba2UPd2S6: optimized geometry, PBE.

Cell: 6.7937 7.4391 7.6295 Å, 119.71 90.00 117.17°
Closest atoms and distances in Å follow each position.
Fractional positions:
Pd: 0.9303 0.8605 0.7683  3 S 2.31-2.32
Pd: 0.0697 0.1395 0.2317  3 S 2.31-2.32
Ba: 0.2704 0.5408 0.7837  7 S 3.19-3.53, 1 Pd 3.51
Ba: 0.7296 0.4592 0.2163  7 S 3.19-3.53, 1 Pd 3.51
S: 0.7242 0.4483 0.6296  1 Pd 2.31, 1 U 2.55
S: 0.2758 0.5517 0.3704  1 Pd 2.31, 1 U 2.55
S: 0.6952 0.8805 0.2079  1 Pd 2.32, 1 U 2.57
S: 0.1853 0.8805 0.2079  1 Pd 2.32, 1 U 2.57
S: 0.8147 0.1195 0.7921  1 Pd 2.32, 1 U 2.57
S: 0.3048 0.1195 0.7921  1 Pd 2.32, 1 U 2.57
U: 0.5000 0.0000 0.5000  6 S 2.55-2.57

Values from the calculation:
space group	C2/m, No. 12

---

In eV/atom, the electronic total energy values for the records above are, in order, -6.6605; -6.0782; -6.0064; -6.5092; -6.2216; -5.7592.